(1)
DFT (PBE) results for a geometry-optimized Tb5Dy3Th structure.

Structure (extended XYZ):
```
18
Lattice="-3.920 3.920 9.564 3.920 -3.920 9.564 3.920 3.920 -9.564" Properties=species:S:1:pos:R:3 pbc="T T T"
Tb 0.000 0.000 0.000
Tb 5.534 1.614 -2.510
Tb 1.614 2.306 -2.510
Tb 5.534 1.614 2.510
Tb 1.614 2.306 2.510
Tb 0.000 0.000 9.564
Tb 2.306 1.614 7.054
Tb -1.614 2.306 7.054
Tb 2.306 1.614 12.075
Tb -1.614 2.306 12.075
Dy 2.905 1.015 0.000
Dy 0.000 0.000 4.782
Dy 2.905 -1.015 9.564
Dy 1.015 4.935 0.000
Dy 0.000 0.000 14.346
Dy 1.015 2.905 9.564
Th 3.920 0.000 4.782
Th 0.000 3.920 4.782
```

Crystal system: tetragonal
Formation energy in eV per atom: 0.313

(2)
DFT (PBE) results for a geometry-optimized BeRu2Pt structure.

Structure (extended XYZ):
```
4
Lattice="3.625 0.000 0.000 0.000 3.625 0.000 0.000 0.000 4.084" Properties=species:S:1:pos:R:3 pbc="T T T"
Be 0.000 0.000 0.000
Ru 0.000 1.812 2.042
Ru 1.812 0.000 2.042
Pt 1.812 1.812 0.000
```

Crystal system: tetragonal
Formation energy in eV per atom: 0.044

(3)
DFT (PBE) results for a geometry-optimized La2HgAu3 structure.

Structure (extended XYZ):
```
12
Lattice="0.000 4.885 8.414 3.649 0.000 8.414 3.649 4.885 0.000" Properties=species:S:1:pos:R:3 pbc="T T T"
La 5.508 4.885 8.414
La 1.825 2.443 4.207
La 5.474 7.328 12.621
La 1.790 4.885 8.414
Hg 3.649 4.885 5.612
Hg 3.649 4.885 11.215
Au 3.649 4.885 2.789
Au 3.649 2.436 7.014
Au 3.649 2.436 9.813
Au 3.649 7.334 7.014
Au 3.649 7.334 9.813
Au 3.649 4.885 14.038
```

Crystal system: orthorhombic
Polymorph energy (0 for the lowest one) in eV per atom: 0.000
Formation energy in eV per atom: -0.728

(4)
DFT (PBE) results for a geometry-optimized NdY12Er5 structure.

Structure (extended XYZ):
```
18
Lattice="7.546 -7.562 0.000 7.546 7.562 0.000 0.000 0.000 5.031" Properties=species:S:1:pos:R:3 pbc="T T T"
Nd 0.000 0.000 0.000
Y 5.038 5.028 0.000
Y 2.518 0.000 2.516
Y 5.056 2.514 2.516
Y 10.054 5.028 0.000
Y 5.055 0.000 0.000
Y 10.036 2.514 2.516
Y 5.056 -2.514 2.516
Y 10.038 0.000 0.000
Y 5.038 -5.028 0.000
Y 10.036 -2.514 2.516
Y 12.575 0.000 2.516
Y 10.054 -5.028 0.000
Er 7.546 5.020 2.516
Er 7.546 2.517 0.000
Er 7.546 0.000 2.516
Er 7.546 -2.517 0.000
Er 7.546 -5.020 2.516
```

Crystal system: orthorhombic
Formation energy in eV per atom: 0.025

(5)
DFT (PBE) results for a geometry-optimized Pm2SmErBi4 structure.

Structure (extended XYZ):
```
8
Lattice="7.864 0.000 0.000 0.000 4.545 0.000 -2.624 0.000 7.416" Properties=species:S:1:pos:R:3 pbc="T T T"
Pm 0.000 0.000 0.000
Pm -1.312 2.272 3.708
Sm 2.620 0.000 3.708
Er 3.932 2.272 0.000
Bi 1.347 2.272 1.838
Bi 0.034 0.000 5.603
Bi 5.206 0.000 1.813
Bi 3.893 2.272 5.578
```

Crystal system: monoclinic
Formation energy in eV per atom: -0.902

(6)
DFT (PBE) results for a geometry-optimized La3Nd12Er structure.

Structure (extended XYZ):
```
16
Lattice="5.209 0.000 0.000 0.000 5.209 0.000 0.000 0.000 20.817" Properties=species:S:1:pos:R:3 pbc="T T T"
La 0.000 0.000 0.000
La 0.000 0.000 5.236
La 0.000 0.000 15.581
Nd 0.000 2.605 2.615
Nd 0.000 2.605 7.868
Nd 0.000 2.605 12.949
Nd 0.000 2.605 18.202
Nd 2.605 0.000 2.615
Nd 2.605 0.000 7.868
Nd 2.605 0.000 12.949
Nd 2.605 0.000 18.202
Nd 2.605 2.605 0.000
Nd 2.605 2.605 5.259
Nd 2.605 2.605 10.408
Nd 2.605 2.605 15.558
Er 0.000 0.000 10.408
```

Crystal system: tetragonal
Formation energy in eV per atom: 0.014